A:
Here is an optimized crystal structure of YCrI2O from Alexandria. Energies are from PBE with a Hubbard U.

Results
spin magnetization	5.0	μB/cell

Unit cell a=6.201 b=6.201 c=4.189 alpha=90.00 beta=90.00 gamma=90.00
Space group P4/mmm (No. 123)
Asymmetric unit:
Y: 0.000 0.000 0.000
Cr: 0.500 0.500 0.500
I: 0.000 0.500 0.000
O: 0.000 0.000 0.500

B:
Here is an optimized crystal structure of YCrI2O from Alexandria. Energies are from PBE with a Hubbard U.

Results
spin magnetization	3.8	μB/cell

Unit cell a=5.825 b=5.825 c=3.778 alpha=90.00 beta=90.00 gamma=90.00
Space group P4/mmm (No. 123)
Asymmetric unit:
Y: 0.000 0.000 0.000
Cr: 0.500 0.500 0.500
I: 0.000 0.500 0.500
O: 0.500 0.500 0.000

Stability summary - winner: A; margin: 370 meV/atom.

A:
Here is an optimized crystal structure of ZnCrI2O from Alexandria. Energies are from PBE with a Hubbard U.

Results
spin magnetization	4.6	μB/cell

Unit cell a=5.911 b=5.911 c=3.640 alpha=90.00 beta=90.00 gamma=90.00
Space group P4/mmm (No. 123)
Asymmetric unit:
Zn: 0.000 0.000 0.000
Cr: 0.500 0.500 0.500
I: 0.000 0.500 0.000
O: 0.000 0.000 0.500

B:
Here is an optimized crystal structure of ZnCrI2O from Alexandria. Energies are from PBE with a Hubbard U.

Results
spin magnetization	3.0	μB/cell

Unit cell a=5.756 b=5.756 c=3.716 alpha=90.00 beta=90.00 gamma=90.00
Space group P4/mmm (No. 123)
Asymmetric unit:
Zn: 0.000 0.000 0.000
Cr: 0.500 0.500 0.500
I: 0.000 0.500 0.500
O: 0.500 0.500 0.000

Stability summary - winner: B; margin: 234 meV/atom.